{
  "formula": "LaMnCd2",
  "functional": "PBE",
  "state": "optimized geometry",
  "cell": [[4.9518, -1.2036, -0.6994], [1.3032, 4.9265, 0.6994], [-2.7722, -2.4584, 3.5678]],
  "species": ["La", "Cd", "Cd", "Mn"],
  "fractional_positions": [[0.5000, 0.5000, 0.0000], [0.0003, 0.0003, 0.0000], [0.2501, 0.7501, 0.5000], [0.7496, 0.2496, 0.5000]],
  "energy_ev_per_atom": -3.9358,
  "magmom_total_mub_per_cell": 4.39
}